## LaBeTeN2 (PBE)

Data for a relaxed structure of LaBeTeN2.

Calculated values
formation energy (no corrections) = 0.56 eV/atom
calculated volume = 16.6 A^3/atom
energy above the most stable polymorph in this dataset = 0.0000 eV per atom
total DFT energy (no corrections) = -5.13 eV/atom
mass density = 6.06 g/cm3

a = 4.259 Å, b = 4.259 Å, c = 4.589 Å
α = 90.00°, β = 90.00°, γ = 90.00°
Space group P4/mmm (No. 123)
Unique sites:
La  0.000  0.000  0.000
Be  0.500  0.500  0.500
Te  0.500  0.500  0.000
N  0.000  0.500  0.500